{"formula": "NaNp2PdS4", "functional": "PBE", "state": "optimized geometry", "dos_ef_per_ev_atom": 2.244, "e_form_raw_ev_per_atom": -1.20, "lattice": [[-1.295, 2.483, 2.796], [4.286, -4.234, 2.944], [10.525, 8.682, -2.837]], "species": ["Np", "S", "Pd", "S", "Np", "S", "Pd", "S", "S", "S", "Np", "S", "Na", "Na", "S", "Np"], "fractional_positions": [[0.368, 0.735, 0.568], [0.728, 0.457, 0.605], [0.170, 0.340, 0.250], [0.272, 0.543, 0.395], [0.632, 0.265, 0.068], [0.000, 0.000, 0.500], [0.830, 0.660, 0.750], [0.555, 0.110, 0.250], [0.445, 0.890, 0.750], [0.728, 0.457, 0.895], [0.368, 0.735, 0.932], [0.272, 0.543, 0.105], [0.886, 0.773, 0.250], [0.114, 0.227, 0.750], [0.000, 0.000, 0.000], [0.632, 0.265, 0.432]]}